Record 1
A plane-wave DFT calculation with GGA+U was carried out for crystalline LaZnCrWO6 at its relaxed geometry.

Structure (CIF):
```
data_LaZnCrWO6
_cell_length_a 7.982
_cell_length_b 7.982
_cell_length_c 7.982
_cell_angle_alpha 90.00
_cell_angle_beta 90.00
_cell_angle_gamma 90.00
_symmetry_space_group_name_H-M 'F -4 3 m'
_symmetry_Int_Tables_number 216
_symmetry_space_group_name_Hall 'F -4 2 3'
loop_
_atom_site_label
_atom_site_fract_x
_atom_site_fract_y
_atom_site_fract_z
La1 0.000 0.000 0.000
Zn1 0.250 0.250 0.250
Cr1 0.000 0.000 0.500
W1 0.250 0.250 0.750
O1 0.007 0.250 0.750
```

Summary:
**Calculated volume**: 12.7 Å³/atom
**Uncorrected energy**: -6.984 eV/atom

Record 2
A plane-wave DFT calculation with GGA+U was carried out for crystalline LaZnCrWO6 at its relaxed geometry.

Structure (CIF):
```
data_LaZnCrWO6
_cell_length_a 5.448
_cell_length_b 5.730
_cell_length_c 9.667
_cell_angle_alpha 90.00
_cell_angle_beta 124.15
_cell_angle_gamma 90.00
_symmetry_space_group_name_H-M 'P 1 c 1'
_symmetry_Int_Tables_number 7
loop_
_symmetry_equiv_pos_as_xyz
'x,y,z'
'x,-y,z+1/2'
loop_
_atom_site_label
_atom_site_fract_x
_atom_site_fract_y
_atom_site_fract_z
La1 0.000 0.216 0.000
Zn1 0.500 0.144 0.506
Cr1 0.263 0.255 0.748
W1 0.772 0.272 0.254
O1 0.011 0.467 0.195
O2 0.142 0.220 0.504
O3 0.424 0.242 0.996
O4 0.524 0.057 0.310
O5 0.608 0.439 0.793
O6 0.911 0.043 0.699
```

Summary:
**Calculated volume**: 12.5 Å³/atom
**Fermi-level density of states**: 0.0 states/eV/f.u.
**Uncorrected energy**: -7.247 eV/atom

Question: calculated volume of number 2 (LaZnCrWO6)?
Answer: 12.5 Å³/atom

Copy entry 1 word for word.
A plane-wave DFT calculation with GGA+U was carried out for crystalline LaZnCrWO6 at its relaxed geometry.

Structure (CIF):
```
data_LaZnCrWO6
_cell_length_a 7.982
_cell_length_b 7.982
_cell_length_c 7.982
_cell_angle_alpha 90.00
_cell_angle_beta 90.00
_cell_angle_gamma 90.00
_symmetry_space_group_name_H-M 'F -4 3 m'
_symmetry_Int_Tables_number 216
_symmetry_space_group_name_Hall 'F -4 2 3'
loop_
_atom_site_label
_atom_site_fract_x
_atom_site_fract_y
_atom_site_fract_z
La1 0.000 0.000 0.000
Zn1 0.250 0.250 0.250
Cr1 0.000 0.000 0.500
W1 0.250 0.250 0.750
O1 0.007 0.250 0.750
```

Summary:
**Calculated volume**: 12.7 Å³/atom
**Uncorrected energy**: -6.984 eV/atom

Question: Which of these has the lowest uncorrected energy?
Answer: number 2

Question: Which of these has the highest calculated volume?
Answer: number 1